Record 1
A geometry-optimized AgSnTe structure. Source: the Alexandria database, functional PBE.

Summary:
The calculation puts the total energy at -10.15 eV/cell. As for the space group: P3m1, No. 156. The value obtained for the uncorrected formation energy is -0.05 eV per atom.

Cell lengths 5.1933, 4.2291, 4.2291 Å; angles 120.00, 90.00, 90.00 degrees
Last column: nearest neighbours and their distance in Å.
Fractional positions:
1 Sn 0.0247 0.0000 0.0000  3 Ag 2.92, 3 Te 3.15
2 Te 0.6425 0.3333 0.6667  3 Ag 2.92, 3 Sn 3.15
3 Ag 0.3328 0.6667 0.3333  3 Sn 2.92, 3 Te 2.92

Record 2
A geometry-optimized K3U2HgTe6 structure. Source: the Alexandria database, functional PBE.

Summary:
The calculation puts the total energy at -53.90 eV/cell. As for the space group: C2/m, No. 12. The value obtained for the uncorrected formation energy is -0.74 eV per atom.

Cell lengths 4.4597, 9.7526, 10.7508 Å; angles 104.44, 101.97, 90.00 degrees
Last column: nearest neighbours and their distance in Å.
Fractional positions:
1 Te 0.6764 0.1234 0.3528  2 U 3.04
2 Te 0.3236 0.8766 0.6472  2 U 3.04
3 Te 0.9779 0.7722 0.9558  1 U 3.05, 2 Hg 3.10
4 Te 0.6740 0.5592 0.3480  3 U 3.13-3.15
5 Te 0.3260 0.4408 0.6520  3 U 3.13-3.15
6 Te 0.0221 0.2278 0.0442  1 U 3.05, 2 Hg 3.10
7 Hg 0.5000 0.0000 0.0000  4 Te 3.10
8 U 0.8285 0.6669 0.6570  6 Te 3.04-3.15
9 U 0.1715 0.3331 0.3430  6 Te 3.04-3.15
10 K 0.5000 0.5000 0.0000  6 Te 3.56-3.59
11 K 0.1530 0.8385 0.3059  6 Te 3.50-3.63
12 K 0.8470 0.1615 0.6941  6 Te 3.50-3.63

Record 3
A geometry-optimized Ca2MoP structure. Source: the Alexandria database, functional PBE.

Summary:
The calculation puts the total energy at -21.14 eV/cell. As for the space group: P4mm, No. 99. The calculation puts the energy of formation from the pure elements at -0.23 eV/atom.

Cell lengths 3.3425, 3.3425, 8.3930 Å; angles 90.00, 90.00, 90.00 degrees
Last column: nearest neighbours and their distance in Å.
Fractional positions:
1 Mo 0.0000 0.0000 0.5765  4 P 2.52
2 Ca 0.0000 0.0000 0.9217  1 Mo 2.90, 4 P 3.10
3 Ca 0.5000 0.5000 0.3198  1 P 3.04, 4 Mo 3.20, 4 Ca 3.34
4 P 0.5000 0.5000 0.6820  4 Mo 2.52

Record 4
A geometry-optimized TmGa2F8 structure. Source: the Alexandria database, functional PBE.

Summary:
The calculation puts the total energy at -57.19 eV/cell. As for the space group: P-3m1, No. 164. The value obtained for the uncorrected formation energy is -2.88 eV per atom.

Cell lengths 4.0600, 6.6378, 6.6373 Å; angles 120.01, 90.00, 90.00 degrees
Last column: nearest neighbours and their distance in Å.
Fractional positions:
1 F 0.7550 0.3334 0.6667  2 Ga 2.01-2.05
2 F 0.7429 0.3298 0.1656  1 Ga 1.94, 1 Tm 2.16
3 F 0.2571 0.1642 0.3298  1 Ga 1.94, 1 Tm 2.16
4 F 0.7429 0.8358 0.6702  1 Ga 1.94, 1 Tm 2.16
5 F 0.2571 0.6702 0.8344  1 Ga 1.94, 1 Tm 2.16
6 F 0.7429 0.8344 0.1642  1 Ga 1.94, 1 Tm 2.16
7 F 0.2571 0.1656 0.8358  1 Ga 1.94, 1 Tm 2.16
8 F 0.2450 0.6666 0.3332  2 Ga 2.01-2.05
9 Tm 0.0000 0.0000 0.0000  6 F 2.16
10 Ga 0.7400 0.6666 0.3333  5 F 1.94-2.05
11 Ga 0.2600 0.3334 0.6667  5 F 1.94-2.05